VASP calculation (GGA-PBE) on a relaxed SiHgPb2 crystal.

Calculated values
The final energy comes out at -11.8 eV/f.u. The calculation puts the calculated density at 10.13 g/cm3. The value obtained for the uncorrected formation energy is 0.340 eV per atom. The energy above the most stable polymorph in this dataset comes out at 0.363 eV per formula unit.

Structure (CIF):
```
data_SiHgPb2
_chemical_formula_sum 'Si2 Hg2 Pb4'
_cell_length_a 4.558
_cell_length_b 4.558
_cell_length_c 10.148
_cell_angle_alpha 90.00
_cell_angle_beta 90.00
_cell_angle_gamma 90.00
_space_group_name_H-M_alt 'I -4 m 2'
_space_group_IT_number 119
_space_group_name_Hall 'I -4 -2'
loop_
_atom_site_label
_atom_site_type_symbol
_atom_site_fract_x
_atom_site_fract_y
_atom_site_fract_z
Si1 Si 0.000 0.000 0.000
Hg1 Hg 0.000 0.500 0.750
Pb1 Pb 0.000 0.000 0.500
Pb2 Pb 0.000 0.500 0.250
```


VASP calculation (GGA-PBE) on a relaxed Si2HgPb crystal.

Calculated values
The final energy comes out at -12.3 eV/f.u. The calculation puts the calculated density at 8.56 g/cm3. The value obtained for the uncorrected formation energy is 0.627 eV per atom. The energy above the most stable polymorph in this dataset comes out at 1.648 eV per formula unit.

Structure (CIF):
```
data_Si2HgPb
_chemical_formula_sum 'Si4 Hg2 Pb2'
_cell_length_a 6.175
_cell_length_b 9.863
_cell_length_c 3.220
_cell_angle_alpha 90.00
_cell_angle_beta 113.33
_cell_angle_gamma 90.00
_space_group_name_H-M_alt 'C 1 2/m 1'
_space_group_IT_number 12
_space_group_name_Hall '-C 2y'
loop_
_atom_site_label
_atom_site_type_symbol
_atom_site_fract_x
_atom_site_fract_y
_atom_site_fract_z
Si1 Si 0.250 0.250 0.000
Hg1 Hg 0.000 0.000 0.500
Pb1 Pb 0.000 0.500 0.500
```


VASP calculation (GGA-PBE) on a relaxed Si2HgPb crystal.

Calculated values
The final energy comes out at -12.4 eV/f.u. The calculation puts the calculated density at 8.52 g/cm3. The value obtained for the uncorrected formation energy is 0.619 eV per atom. The energy above the most stable polymorph in this dataset comes out at 1.615 eV per formula unit.

Structure (CIF):
```
data_Si2HgPb
_chemical_formula_sum 'Si4 Hg2 Pb2'
_cell_length_a 4.333
_cell_length_b 4.333
_cell_length_c 9.630
_cell_angle_alpha 90.00
_cell_angle_beta 90.00
_cell_angle_gamma 90.00
_space_group_name_H-M_alt 'I 4/m m m'
_space_group_IT_number 139
_space_group_name_Hall '-I 4 2'
loop_
_atom_site_label
_atom_site_type_symbol
_atom_site_fract_x
_atom_site_fract_y
_atom_site_fract_z
Si1 Si 0.000 0.500 0.250
Hg1 Hg 0.000 0.000 0.000
Pb1 Pb 0.000 0.000 0.500
```


- Among the records above, which one has the lowest calculated density?
  number 3


- Look up the energy above the most stable polymorph in this dataset of the third one.
  1.615 eV per formula unit